NaPuCd17: optimized geometry, PBE.

a b c (Å): 7.742 7.742 7.742
angles (deg): 82.00 82.00 82.00
Positions (direct):
1 Na 0.000 0.000 0.000
2 Pu 0.331 0.331 0.331
3 Cd 0.034 0.034 0.468
4 Cd 0.034 0.468 0.034
5 Cd 0.144 0.676 0.676
6 Cd 0.314 0.314 0.791
7 Cd 0.314 0.791 0.314
8 Cd 0.360 0.661 0.963
9 Cd 0.360 0.963 0.661
10 Cd 0.468 0.034 0.034
11 Cd 0.556 0.556 0.556
12 Cd 0.661 0.360 0.963
13 Cd 0.661 0.963 0.360
14 Cd 0.676 0.144 0.676
15 Cd 0.676 0.676 0.144
16 Cd 0.755 0.755 0.755
17 Cd 0.791 0.314 0.314
18 Cd 0.963 0.360 0.661
19 Cd 0.963 0.661 0.360

Results
**Crystal system**: trigonal

***

NaPu2Cd6: optimized geometry, PBE.

a b c (Å): 8.972 8.972 3.101
angles (deg): 90.01 90.01 59.93
Positions (direct):
1 Na 0.000 0.000 0.000
2 Pu 0.333 0.333 0.000
3 Pu 0.667 0.667 0.000
4 Cd 0.000 0.332 0.499
5 Cd 0.000 0.668 0.501
6 Cd 0.332 0.000 0.499
7 Cd 0.332 0.668 0.500
8 Cd 0.668 0.000 0.501
9 Cd 0.668 0.332 0.500

Results
**Crystal system**: monoclinic

***

NaPuCd6: optimized geometry, PBE.

a b c (Å): 5.127 6.656 6.656
angles (deg): 60.16 90.00 90.00
Positions (direct):
1 Na 0.000 0.000 0.000
2 Pu 0.500 0.331 0.331
3 Cd 0.000 0.501 0.501
4 Cd 0.000 0.503 0.991
5 Cd 0.000 0.991 0.503
6 Cd 0.500 0.344 0.824
7 Cd 0.500 0.824 0.344
8 Cd 0.500 0.827 0.827

Results
**Crystal system**: orthorhombic

***

The following energy relative to the elements values (in eV per atom) correspond, in order, to the records above: -0.0327 -0.1169 -0.0482.
The following Fermi-level density of states values (in states/eV/atom) correspond, in order, to the records above: 0.98 1.94 1.92.